1.
Ba2Mg3AlGe4: relaxed, GGA-PBE.

Output
* calculated volume: 24.7 A^3/atom
* formation energy from the elements: -0.416 eV per atom
* N(E_F): 0.338 states/eV per atom

The structure in POSCAR format:
```
Ba2Mg3AlGe4
1.0
4.7075 0.0000 0.0000
0.0000 4.7075 0.0000
0.0000 0.0000 11.1389
Ge Mg Ba Al
4 3 2 1
Direct
0.0000 0.0000 0.0000
0.0000 0.5000 0.3718
0.5000 0.5000 0.0000
0.5000 0.0000 0.6282
0.0000 0.5000 0.1258
0.5000 0.0000 0.8742
0.0000 0.0000 0.5000
0.5000 0.0000 0.2457
0.0000 0.5000 0.7543
0.5000 0.5000 0.5000
```

2.
Pm3Dy4Th2: relaxed, GGA-PBE.

Output
* calculated volume: 32.7 A^3/atom
* energy above the lowest structure with this stoichiometry: 0.000 eV per atom
* formation energy from the elements: 0.053 eV per atom
* N(E_F): 1.396 states/eV per atom

The structure in POSCAR format:
```
Pm3Dy4Th2
1.0
6.5149 1.0402 -2.5508
1.0099 8.3696 1.0548
-4.4072 -0.9739 12.6927
Pm Dy Th
6 8 4
Direct
0.7465 0.5066 0.5026
0.2535 0.4934 0.4974
0.4795 0.8319 0.9485
0.8731 0.1696 0.7325
0.5205 0.1681 0.0515
0.1269 0.8304 0.2675
0.0258 0.1666 0.0550
0.9570 0.1586 0.3931
0.6166 0.8321 0.2606
0.3329 0.4739 0.1616
0.0430 0.8414 0.6069
0.9742 0.8334 0.9450
0.3834 0.1679 0.7394
0.6671 0.5261 0.8384
0.5557 0.8421 0.6122
0.4443 0.1579 0.3878
0.8316 0.4725 0.1604
0.1684 0.5275 0.8396
```

3.
ZrAl2Pt: relaxed, GGA-PBE.

Output
* calculated volume: 17.6 A^3/atom
* formation energy from the elements: -0.426 eV per atom
* N(E_F): 1.021 states/eV per atom

The structure in POSCAR format:
```
ZrAl2Pt
1.0
9.2310 0.0024 0.0014
8.7458 2.9533 0.0014
8.7458 1.4379 2.5796
Al Pt Zr
2 1 1
Direct
0.5085 0.5085 0.5085
0.9915 0.9915 0.9915
0.2500 0.2500 0.2500
0.7500 0.7500 0.7500
```

4.
PbAu4O7: relaxed, GGA-PBE.

Output
* calculated volume: 18.8 A^3/atom
* energy relative to the elements, uncorrected: -8 kJ/mol of atoms
* N(E_F): 0.300 states/eV per atom

The structure in POSCAR format:
```
PbAu4O7
1.0
7.6182 0.0000 0.0000
0.0000 7.2315 -3.5264
0.0000 0.2910 8.0403
O Au Pb
14 8 2
Direct
0.0171 0.1395 0.3889
0.2500 0.3799 0.7399
0.0171 0.3889 0.1395
0.4829 0.1395 0.3889
0.9829 0.6111 0.8605
0.5171 0.6111 0.8605
0.7500 0.6201 0.2601
0.7500 0.2601 0.6201
0.7500 0.0709 0.0709
0.9829 0.8605 0.6111
0.2500 0.9291 0.9291
0.5171 0.8605 0.6111
0.4829 0.3889 0.1395
0.2500 0.7399 0.3799
0.7500 0.3440 0.1287
0.2500 0.6560 0.8713
0.5000 0.3548 0.6452
0.0000 0.3548 0.6452
0.0000 0.6452 0.3548
0.5000 0.6452 0.3548
0.7500 0.1287 0.3440
0.2500 0.8713 0.6560
0.7500 0.8065 0.8065
0.2500 0.1935 0.1935
```

5.
Ho2LuPt: relaxed, GGA-PBE.

Output
* calculated volume: 25.9 A^3/atom
* energy above the lowest structure with this stoichiometry: 0.000 eV per atom
* formation energy from the elements: -0.586 eV per atom
* N(E_F): 1.280 states/eV per atom

The structure in POSCAR format:
```
Ho2LuPt
1.0
-0.6990 1.6799 3.0505
1.8334 -2.4677 1.7791
6.8493 4.4525 -0.8825
Pt Lu Ho
1 1 2
Direct
0.5000 0.5000 0.0000
0.5000 0.5000 0.5000
0.0000 0.0000 0.1997
0.0000 0.0000 0.8003
```

6.
Tb5Nd3Ru2: relaxed, GGA-PBE.

Output
* calculated volume: 29.9 A^3/atom
* formation energy from the elements: -0.014 eV per atom
* N(E_F): 1.050 states/eV per atom

The structure in POSCAR format:
```
Tb5Nd3Ru2
1.0
6.8592 0.0000 0.0000
3.4296 9.3824 -0.5497
3.4296 1.9599 9.1919
Tb Nd Ru
10 6 4
Direct
0.0656 0.6497 0.2191
0.4768 0.2732 0.2732
0.7500 0.5000 0.5000
0.4344 0.7809 0.3503
0.5232 0.7268 0.7268
0.5656 0.2191 0.6497
0.0232 0.7268 0.7268
0.9768 0.2732 0.2732
0.2500 0.5000 0.5000
0.9344 0.3503 0.7809
0.1780 0.0621 0.5818
0.8220 0.9379 0.4182
0.6780 0.5818 0.0621
0.3220 0.4182 0.9379
0.2500 0.0000 0.0000
0.7500 0.0000 0.0000
0.6597 0.9479 0.7326
0.3403 0.0521 0.2674
0.1597 0.7326 0.9479
0.8403 0.2674 0.0521
```

Sequential density output: 4.5, 8.7, 8.0, 8.2, 11.2, 7.9 g cm⁻³